(1)
Entry from the Alexandria database: NbRh after structural relaxation (PBE).

- Volume: 17.541 Å³/atom
- Crystal system: tetragonal
- Energy relative to the elements: 4.05 kJ per mole of atoms
- Magnetic moment: 0.000 μB per atom

Cell: 7.145 7.145 7.145 Å, 92.30 92.30 156.88°
Element x y z (fractional)
Nb 0.115 0.350 0.464
Nb 0.350 0.885 0.235
Nb 0.650 0.115 0.765
Nb 0.885 0.650 0.536
Rh 0.093 0.833 0.926
Rh 0.167 0.093 0.260
Rh 0.833 0.907 0.740
Rh 0.907 0.167 0.074

***

(2)
Entry from the Alexandria database: Sc3AuN after structural relaxation (PBE).

- Volume: 17.124 Å³/atom
- Crystal system: cubic
- E_tot: -7.271 eV per atom
- Magnetic moment: 0.185 μB per atom

Cell: 4.408 4.408 4.408 Å, 90.00 90.00 90.00°
Element x y z (fractional)
Sc 0.000 0.000 0.500
Sc 0.000 0.500 0.000
Sc 0.500 0.000 0.000
Au 0.500 0.500 0.500
N 0.000 0.000 0.000

***

(3)
Entry from the Alexandria database: SrMg2Pb after structural relaxation (PBE).

- Volume: 29.220 Å³/atom
- Crystal system: tetragonal
- Energy relative to the elements: -17.35 kJ per mole of atoms
- Magnetic moment: 0.000 μB per atom

Cell: 5.484 5.484 5.484 Å, 119.87 119.87 90.23°
Element x y z (fractional)
Sr 0.000 0.000 0.000
Mg 0.500 0.500 0.000
Mg 0.750 0.250 0.500
Pb 0.250 0.750 0.500